[1]
A plane-wave DFT calculation with PBE-GGA was carried out for crystalline Pu2Ga3Cu4Au at its relaxed geometry.

Cell lengths 4.0532, 4.0532, 10.9289 Å; angles 90.00, 90.00, 90.00 degrees
Closest atoms and distances in Å follow each position.
Fractional positions:
Cu (0.0000, 0.5000, 0.3505)  3 Ga 2.42-2.60, 2 Au 2.60
Cu (0.5000, 0.5000, 0.0000)  4 Ga 2.47
Cu (0.5000, 0.0000, 0.6495)  3 Ga 2.42-2.60, 2 Au 2.60
Cu (0.0000, 0.0000, 0.0000)  4 Ga 2.47
Ga (0.0000, 0.5000, 0.1291)  5 Cu 2.42-2.47
Ga (0.0000, 0.0000, 0.5000)  4 Cu 2.60, 4 Au 2.87
Ga (0.5000, 0.0000, 0.8709)  5 Cu 2.42-2.47
Pu (0.5000, 0.0000, 0.2463)  8 Cu 3.08-3.37, 6 Ga 3.14-3.43, 2 Au 3.43
Pu (0.0000, 0.5000, 0.7537)  8 Cu 3.08-3.37, 6 Ga 3.14-3.43, 2 Au 3.43
Au (0.5000, 0.5000, 0.5000)  4 Cu 2.60, 4 Ga 2.87

## Properties
Formation enthalpy at 0 K   -0.207 eV per atom
Calculated total energy   -5.948 eV/atom



[2]
A plane-wave DFT calculation with PBE-GGA was carried out for crystalline Pu2Ga3CuAu12 at its relaxed geometry.

Cell lengths 13.7616, 13.7616, 13.7616 Å; angles 23.80, 23.80, 23.80 degrees
Closest atoms and distances in Å follow each position.
Fractional positions:
Au (0.6089, 0.1200, 0.6089)  2 Ga 2.73, 6 Au 2.78-2.94
Au (0.6089, 0.6089, 0.1200)  2 Ga 2.73, 6 Au 2.78-2.94
Au (0.3861, 0.8850, 0.8850)  1 Cu 2.65, 6 Au 2.83-2.94
Au (0.8800, 0.3911, 0.3911)  2 Ga 2.73, 6 Au 2.78-2.94
Au (0.1200, 0.6089, 0.6089)  2 Ga 2.73, 6 Au 2.78-2.94
Au (0.1150, 0.1150, 0.6139)  1 Cu 2.65, 6 Au 2.83-2.94
Au (0.8850, 0.3861, 0.8850)  1 Cu 2.65, 6 Au 2.83-2.94
Au (0.8850, 0.8850, 0.3861)  1 Cu 2.65, 6 Au 2.83-2.94
Au (0.3911, 0.3911, 0.8800)  2 Ga 2.73, 6 Au 2.78-2.94
Au (0.1150, 0.6139, 0.1150)  1 Cu 2.65, 6 Au 2.83-2.94
Au (0.6139, 0.1150, 0.1150)  1 Cu 2.65, 6 Au 2.83-2.94
Au (0.3911, 0.8800, 0.3911)  2 Ga 2.73, 6 Au 2.78-2.94
Ga (0.0000, 0.0000, 0.5000)  4 Au 2.73, 4 Ga 2.84
Ga (0.5000, 0.0000, 0.0000)  4 Au 2.73, 4 Ga 2.84
Ga (0.0000, 0.5000, 0.0000)  4 Au 2.73, 4 Ga 2.84
Pu (0.3513, 0.3513, 0.3513)  9 Au 3.15-3.25, 3 Cu 3.36
Pu (0.6487, 0.6487, 0.6487)  9 Au 3.15-3.25, 3 Cu 3.36
Cu (0.0000, 0.0000, 0.0000)  6 Au 2.65

## Properties
Formation enthalpy at 0 K   -0.121 eV per atom
Calculated total energy   -4.630 eV/atom



[3]
A plane-wave DFT calculation with PBE-GGA was carried out for crystalline Pu2Ga3CuAu4 at its relaxed geometry.

Cell lengths 4.2658, 4.2658, 11.2038 Å; angles 90.00, 90.00, 90.00 degrees
Closest atoms and distances in Å follow each position.
Fractional positions:
Cu (0.5000, 0.5000, 0.5000)  4 Au 2.63
Ga (0.5000, 0.0000, 0.8634)  5 Au 2.53-2.63
Ga (0.0000, 0.0000, 0.5000)  4 Au 2.63
Ga (0.0000, 0.5000, 0.1366)  5 Au 2.53-2.63
Pu (0.0000, 0.5000, 0.7459)  8 Au 3.25-3.56, 6 Ga 3.29-3.48, 2 Cu 3.48
Pu (0.5000, 0.0000, 0.2541)  8 Au 3.25-3.56, 6 Ga 3.29-3.48, 2 Cu 3.48
Au (0.0000, 0.5000, 0.3623)  3 Ga 2.53-2.63, 2 Cu 2.63
Au (0.5000, 0.0000, 0.6377)  3 Ga 2.53-2.63, 2 Cu 2.63
Au (0.5000, 0.5000, 0.0000)  4 Ga 2.63
Au (0.0000, 0.0000, 0.0000)  4 Ga 2.63

## Properties
Formation enthalpy at 0 K   -0.343 eV per atom
Calculated total energy   -5.838 eV/atom



[4]
A plane-wave DFT calculation with PBE-GGA was carried out for crystalline PuGa2CuAu4 at its relaxed geometry.

Cell lengths 4.4994, 4.4994, 9.0400 Å; angles 75.59, 75.59, 60.00 degrees
Closest atoms and distances in Å follow each position.
Fractional positions:
Au (0.6028, 0.6028, 0.1916)  3 Ga 2.67, 1 Cu 2.67
Au (0.1354, 0.1354, 0.5937)  3 Cu 2.72, 4 Ga 2.87-2.88
Au (0.3972, 0.3972, 0.8084)  3 Ga 2.67, 1 Cu 2.67
Au (0.8646, 0.8646, 0.4063)  3 Cu 2.72, 4 Ga 2.87-2.88
Cu (0.5000, 0.5000, 0.5000)  8 Au 2.67-2.72
Pu (0.0000, 0.0000, 0.0000)  6 Au 3.08, 6 Ga 3.45
Ga (0.7539, 0.7539, 0.7383)  7 Au 2.67-2.88
Ga (0.2461, 0.2461, 0.2617)  7 Au 2.67-2.88

## Properties
Formation enthalpy at 0 K   -0.248 eV per atom
Calculated total energy   -4.947 eV/atom



[5]
A plane-wave DFT calculation with PBE-GGA was carried out for crystalline PuGa2CuAu5 at its relaxed geometry.

Cell lengths 4.9343, 4.9343, 7.5491 Å; angles 90.00, 90.00, 90.00 degrees
Closest atoms and distances in Å follow each position.
Fractional positions:
Au (0.5000, 0.0000, 0.2413)  2 Ga 2.55
Au (0.0000, 0.5000, 0.2413)  2 Ga 2.55
Au (0.5000, 0.0000, 0.7587)  2 Ga 2.55
Au (0.5000, 0.5000, 0.5000)  2 Ga 2.59
Au (0.0000, 0.5000, 0.7587)  2 Ga 2.55
Ga (0.5000, 0.5000, 0.8428)  1 Ga 2.37, 5 Au 2.55-2.59
Ga (0.5000, 0.5000, 0.1572)  1 Ga 2.37, 5 Au 2.55-2.59
Pu (0.0000, 0.0000, 0.5000)  12 Au 3.15-3.49
Cu (0.0000, 0.0000, 0.0000)  8 Au 3.07

## Properties
Formation enthalpy at 0 K   -0.052 eV per atom
Calculated total energy   -4.593 eV/atom



[6]
A plane-wave DFT calculation with PBE-GGA was carried out for crystalline RbGaCuAu2 at its relaxed geometry.

Cell lengths 5.9594, 6.1381, 5.9594 Å; angles 90.00, 90.00, 90.00 degrees
Closest atoms and distances in Å follow each position.
Fractional positions:
Cu (0.5000, 0.5000, 0.5000)  4 Ga 4.21, 8 Au 4.28
Rb (0.0000, 0.0000, 0.0000)  4 Au 2.98, 2 Ga 3.07
Ga (0.0000, 0.5000, 0.0000)  2 Rb 3.07
Au (0.5000, 0.0000, 0.0000)  2 Rb 2.98
Au (0.0000, 0.0000, 0.5000)  2 Rb 2.98

## Properties
Formation enthalpy at 0 K   1.371 eV per atom
Calculated total energy   -1.558 eV/atom



[7]
A plane-wave DFT calculation with PBE-GGA was carried out for crystalline GaCu2AuS4 at its relaxed geometry.

Cell lengths 5.4514, 5.4514, 6.5520 Å; angles 114.59, 114.59, 90.01 degrees
Closest atoms and distances in Å follow each position.
Fractional positions:
Cu (0.7500, 0.2500, 0.5001)  4 S 2.29
Cu (0.2500, 0.7500, 0.5001)  4 S 2.29
S (0.3957, 0.8710, 0.2667)  2 Cu 2.29, 1 Ga 2.31, 1 Au 2.47
S (0.1289, 0.1289, 0.7334)  2 Cu 2.29, 1 Ga 2.31, 1 Au 2.47
S (0.8710, 0.3957, 0.2667)  2 Cu 2.29, 1 Ga 2.31, 1 Au 2.47
S (0.6044, 0.6044, 0.7334)  2 Cu 2.29, 1 Ga 2.31, 1 Au 2.47
Ga (0.5000, 0.5000, 0.9999)  4 S 2.31
Au (0.0002, 0.0002, 0.0003)  4 S 2.47

## Properties
Calculated total energy   -4.164 eV/atom



[8]
A plane-wave DFT calculation with PBE-GGA was carried out for crystalline Ga2CuAuS4 at its relaxed geometry.

Cell lengths 5.9265, 5.9265, 5.9265 Å; angles 112.28, 112.28, 103.99 degrees
Closest atoms and distances in Å follow each position.
Fractional positions:
Cu (0.0000, 0.0000, 0.0000)  4 S 2.30
Au (0.5000, 0.5000, 0.0000)  4 S 2.59
S (0.0505, 0.3975, 0.0000)  1 Cu 2.30, 2 Ga 2.45
S (0.6025, 0.6025, 0.6530)  1 Cu 2.30, 2 Ga 2.45
S (0.9495, 0.9495, 0.3470)  1 Cu 2.30, 2 Ga 2.45
S (0.3975, 0.0505, 0.0000)  1 Cu 2.30, 2 Ga 2.45
Ga (0.2500, 0.7500, 0.5000)  4 S 2.45
Ga (0.7500, 0.2500, 0.5000)  4 S 2.45

## Properties
Calculated total energy   -3.796 eV/atom



[9]
A plane-wave DFT calculation with PBE-GGA was carried out for crystalline GaCu7Sb2Au2 at its relaxed geometry.

Cell lengths 3.6940, 3.6940, 14.3504 Å; angles 82.81, 82.81, 89.96 degrees
Closest atoms and distances in Å follow each position.
Fractional positions:
Ga (0.0000, 0.0000, 0.0000)  12 Cu 2.59-2.61
Cu (0.5000, 0.5000, 0.0000)  8 Cu 2.59, 4 Ga 2.61
Cu (0.0634, 0.5623, 0.8716)  6 Cu 2.59-2.62, 2 Ga 2.59, 2 Au 2.67-2.68
Cu (0.5623, 0.0634, 0.8716)  6 Cu 2.59-2.62, 2 Ga 2.59, 2 Au 2.67-2.68
Cu (0.9366, 0.4377, 0.1284)  6 Cu 2.59-2.62, 2 Ga 2.59, 2 Au 2.67-2.68
Cu (0.7245, 0.7245, 0.5420)  1 Sb 2.58, 1 Au 2.72, 3 Cu 2.82-2.87
Cu (0.4377, 0.9366, 0.1284)  6 Cu 2.59-2.62, 2 Ga 2.59, 2 Au 2.67-2.68
Cu (0.2755, 0.2755, 0.4580)  1 Sb 2.58, 1 Au 2.72, 3 Cu 2.82-2.87
Au (0.6303, 0.6303, 0.7346)  5 Cu 2.67-2.72, 4 Sb 2.93
Au (0.3697, 0.3697, 0.2654)  5 Cu 2.67-2.72, 4 Sb 2.93
Sb (0.1756, 0.1756, 0.6408)  1 Cu 2.58
Sb (0.8244, 0.8244, 0.3592)  1 Cu 2.58

## Properties
Calculated total energy   -3.829 eV/atom



[10]
A plane-wave DFT calculation with PBE-GGA was carried out for crystalline Sc4GaCu2Au at its relaxed geometry.

Cell lengths 4.7016, 4.7016, 8.1692 Å; angles 73.28, 73.28, 60.00 degrees
Closest atoms and distances in Å follow each position.
Fractional positions:
Cu (0.2533, 0.2533, 0.2402)  8 Sc 2.81-2.97
Cu (0.7467, 0.7467, 0.7598)  8 Sc 2.81-2.97
Ga (0.0000, 0.0000, 0.0000)  8 Sc 2.88
Sc (0.1247, 0.1247, 0.6258)  3 Au 2.88, 1 Ga 2.88, 4 Cu 2.90-2.97
Sc (0.8753, 0.8753, 0.3742)  3 Au 2.88, 1 Ga 2.88, 4 Cu 2.90-2.97
Sc (0.3747, 0.3747, 0.8758)  4 Cu 2.81-2.86, 3 Ga 2.88, 1 Au 2.90
Sc (0.6253, 0.6253, 0.1242)  4 Cu 2.81-2.86, 3 Ga 2.88, 1 Au 2.90
Au (0.5000, 0.5000, 0.5000)  8 Sc 2.88-2.90

## Properties
Formation enthalpy at 0 K   -0.505 eV per atom
Calculated total energy   -5.483 eV/atom